Here is a relaxed structure of CsCoHg2O from Alexandria. Energies are from PBE with a Hubbard U.

Cell lengths 4.996, 5.772, 4.996 Å; angles 90.00, 90.00, 90.00 degrees
Each line ends with the local moment (μB).
Sites, in units of the cell vectors:
Hg: 0.500 0.000 0.000  -0.01
Cs: 0.000 0.500 0.000  0.00
Hg: 0.000 0.000 0.500  0.00
O: 0.000 0.000 0.000  -0.06
Co: 0.500 0.500 0.500  2.05

Results
- density (g/cm3) = 7.0
- SG = P4/mmm, No. 123
- total DFT energy (no corrections) (eV per formula unit) = -9.48
- magnetization (μB/cell) = 2.079
- Fermi-level density of states (states/eV/f.u.) = 1.99